Computed, not measured: a geometry-optimized Na3Pu2Br8 structure at the PBE level of DFT.

Unit cell a=8.806 b=8.806 c=7.158 alpha=106.67 beta=106.67 gamma=55.97
Element x y z (fractional)
Na  0.000  0.000  0.000
Na  0.262  0.738  0.500
Na  0.738  0.262  0.500
Pu  0.257  0.257  0.826
Pu  0.743  0.743  0.174
Br  0.112  0.633  0.082
Br  0.117  0.117  0.434
Br  0.367  0.888  0.918
Br  0.384  0.384  0.610
Br  0.616  0.616  0.390
Br  0.633  0.112  0.082
Br  0.883  0.883  0.566
Br  0.888  0.367  0.918

Raw formation energy = -1505 meV/atom